This record from Alexandria via LeMat-Bulk describes a relaxed structure of CrP3O9. The functional is PBE+U.

Geometry as POSCAR:
```
CrP3O9
1.0
5.727 -3.307 0.000
5.727 3.307 0.000
-0.044 0.000 9.673
Cr P O
2 6 18
Cartesian
5.705 3.299 4.837 Cr
5.727 -3.299 0.000 Cr
4.154 1.680 7.237 P
2.167 0.520 2.437 P
2.145 -0.520 7.274 P
5.077 1.160 2.417 P
4.176 -1.680 2.400 P
5.056 -1.160 7.254 P
1.423 0.801 1.166 O
4.294 2.458 8.511 O
4.276 2.432 5.944 O
1.456 0.777 3.733 O
2.715 0.988 7.251 O
3.487 1.421 2.429 O
5.664 1.662 1.131 O
1.401 -0.801 6.002 O
1.434 -0.777 8.570 O
5.685 1.649 3.699 O
2.736 -0.988 2.414 O
5.175 0.433 7.246 O
3.465 -1.421 7.266 O
5.197 -0.433 2.409 O
4.298 -2.432 1.107 O
5.642 -1.662 5.968 O
5.663 -1.649 8.536 O
4.316 -2.458 3.675 O
```

Summary:
electronic total energy	-7.372	eV per atom
space group	Cc (9)
mass density	2.62	g/cm3
E above lowest polymorph	24	meV per atom


This record from Alexandria via LeMat-Bulk describes a relaxed structure of CrP2O7. The functional is PBE+U.

Geometry as POSCAR:
```
CrP2O7
1.0
4.805 0.000 0.000
0.000 8.070 0.000
-1.882 0.000 6.692
Cr P O
2 4 14
Cartesian
0.635 0.000 1.536 Cr
2.288 4.035 5.156 Cr
-0.001 5.948 4.080 P
1.826 2.532 0.018 P
1.097 6.567 6.675 P
2.924 1.913 2.613 P
-0.507 1.451 2.135 O
-1.159 3.545 6.416 O
-0.114 6.776 2.825 O
1.343 1.090 0.067 O
0.584 6.958 5.200 O
1.792 6.667 0.961 O
0.974 4.742 3.961 O
1.949 0.707 2.732 O
1.131 2.632 5.732 O
2.339 2.923 1.492 O
1.580 5.125 6.626 O
3.037 2.741 3.867 O
4.082 7.581 0.277 O
3.430 5.486 4.558 O
```

Summary:
electronic total energy	-7.277	eV per atom
space group	P2_1 (4)
mass density	2.89	g/cm3
E above lowest polymorph	0	meV per atom


This record from Alexandria via LeMat-Bulk describes a relaxed structure of CrP2O6. The functional is PBE+U.

Geometry as POSCAR:
```
CrP2O6
1.0
5.424 -6.031 0.000
5.424 6.031 0.000
-1.471 0.000 4.443
Cr P O
2 4 12
Cartesian
4.321 3.417 3.332 Cr
5.056 -3.417 1.111 Cr
2.230 0.912 2.372 P
2.966 -0.912 0.151 P
6.411 0.912 4.292 P
7.146 -0.912 2.071 P
0.871 1.164 1.799 O
3.246 2.011 2.349 O
0.136 -1.164 4.020 O
2.127 0.402 3.895 O
2.863 -0.402 1.673 O
5.395 2.011 4.316 O
3.981 -2.011 0.127 O
6.514 0.402 2.770 O
7.249 -0.402 0.548 O
9.241 1.164 0.423 O
6.131 -2.011 2.094 O
8.506 -1.164 2.644 O
```

Summary:
electronic total energy	-7.421	eV per atom
space group	C2/c (15)
mass density	2.40	g/cm3
E above lowest polymorph	0	meV per atom